Record 1
## K5BrCl4 (PBEsol)

Data for a geometry-optimized K5BrCl4 structure.

Unit cell a=4.4513 b=4.4513 c=18.3911 alpha=83.05 beta=83.05 gamma=60.00
Fractional positions:
K 0.7027 0.7027 0.8920
K 0.8987 0.8987 0.3040
K 0.1013 0.1013 0.6960
K 0.2973 0.2973 0.1080
K 0.5000 0.5000 0.5000
Cl 0.5980 0.5980 0.2060
Cl 0.8007 0.8007 0.5980
Cl 0.1993 0.1993 0.4020
Cl 0.4020 0.4020 0.7940
Br 0.0000 0.0000 0.0000

VASP energy = -3.453 eV per atom
Uncorrected formation energy = -1.896 eV/atom
D(E_F) = 0.00 states/eV/f.u.

=====

Record 2
## K2BrCl (PBEsol)

Data for a geometry-optimized K2BrCl structure.

Unit cell a=8.0890 b=8.0890 c=7.3381 alpha=123.45 beta=123.45 gamma=90.00
Fractional positions:
K 0.3911 0.8750 0.2500
K 0.1250 0.1411 0.7500
K 0.8589 0.3750 0.2500
K 0.6250 0.6089 0.7500
Br 0.2500 0.7500 0.5000
Br 0.0000 0.0000 0.0000
Cl 0.7500 0.2500 0.5000
Cl 0.5000 0.5000 0.0000

Energy above the lowest structure with this stoichiometry = 100.8 meV per atom
VASP energy = -3.267 eV per atom
Uncorrected formation energy = -1.731 eV/atom
D(E_F) = 0.00 states/eV/f.u.

=====

Question: What is the formula in the first record?
Answer: K5BrCl4

=====

Question: Among the records above, which one has the highest uncorrected formation energy?
Answer: K2BrCl

=====

Question: The highest VASP energy belongs to which entry?
Answer: K2BrCl